Entry from Alexandria via LeMat-Bulk: a geometry-optimized Ba2SrUO6 structure (PBE).

abc: 10.899 6.297 6.376
angles: 90.00 125.00 90.00
Space group C2/m (No. 12)
Asymmetric unit:
Ba 0.249 0.000 0.234
Sr 0.000 0.000 0.500
U 0.000 0.500 0.000
O 0.055 0.268 0.829
O 0.224 0.500 0.319

Properties
Energy above the lowest structure with this stoichiometry: 4.8 meV per atom
Crystal system: monoclinic

---

Entry from Alexandria via LeMat-Bulk: a geometry-optimized YMnW2 structure (PBE).

abc: 4.839 4.839 16.259
angles: 90.00 90.00 90.00
Space group I-42d (No. 122)
Asymmetric unit:
Y 0.000 0.000 0.000
Mn 0.000 0.000 0.500
W 0.013 0.750 0.625

Properties
Energy of formation: 1.21 eV/atom
Energy above the lowest structure with this stoichiometry: 873.1 meV per atom
Crystal system: tetragonal

---

Entry from Alexandria via LeMat-Bulk: a geometry-optimized YHoNp2Se4 structure (PBE).

abc: 7.071 4.079 7.090
angles: 90.00 109.36 90.00
Space group P2/m (No. 10)
Asymmetric unit:
Y 0.000 0.000 0.000
Ho 0.500 0.500 0.000
Np 0.000 0.500 0.500
Np 0.500 0.000 0.500
Se 0.250 0.500 0.247
Se 0.253 0.000 0.754

Properties
Crystal system: monoclinic

---

Entry from Alexandria via LeMat-Bulk: a geometry-optimized AlCr2In structure (PBE).

abc: 3.374 4.233 8.342
angles: 90.00 90.00 90.00
Space group Immm (No. 71)
Asymmetric unit:
Al 0.000 0.000 0.000
Cr 0.000 0.500 0.256
In 0.000 0.000 0.500

Properties
Energy of formation: 0.40 eV/atom
Crystal system: orthorhombic

---

Asked for total DFT energy (no corrections) across the records above, the calculation gives -7.74 -9.18 -7.78 -6.03 eV/atom in order.